Entry 1:
## DyPaSn (PBE-GGA)

Data for a geometry-optimized DyPaSn structure.

The calculation puts the formation energy at -0.13 eV per atom. The calculation puts the magnetization at 0.0 μB/f.u. The calculation puts the relative energy among the computed polymorphs at 0.000 eV/f.u. For the density of states at the Fermi level, the calculation gives 5.41 states/eV/f.u. For the density, the calculation gives 10.6 g cm⁻³.

It has space group I4mm (No. 107), with a = 3.310 Å, b = 3.310 Å, c = 14.661 Å, α = 90.00°, β = 90.00° and γ = 90.00°. The asymmetric unit holds Dy at (0.000, 0.000, 0.000), Pa at (0.000, 0.000, 0.677) and Sn at (0.000, 0.000, 0.338).



Entry 2:
## CePm4Ho5 (PBE-GGA)

Data for a geometry-optimized CePm4Ho5 structure.

The calculation puts the formation energy at 0.25 eV per atom. The calculation puts the magnetization at 1.2 μB/f.u. The calculation puts the relative energy among the computed polymorphs at 2.175 eV/f.u. For the density of states at the Fermi level, the calculation gives 20.47 states/eV/f.u. For the density, the calculation gives 7.6 g cm⁻³.

It has space group C2/m (No. 12), with a = 15.229 Å, b = 5.824 Å, c = 9.810 Å, α = 90.00°, β = 129.38° and γ = 90.00°. The asymmetric unit holds Ce at (0.000, 0.000, 0.000), Pm at (0.237, 0.500, 0.401), Pm at (0.247, 0.000, 0.172), Ho at (0.000, 0.500, 0.500), Ho at (0.074, 0.000, 0.728) and Ho at (0.081, 0.500, 0.927).



Entry 3:
## AlPH2S4 (PBE-GGA)

Data for a geometry-optimized AlPH2S4 structure.

As for the energy: -4.434 eV/atom. The calculation puts the magnetization at 0.0 μB/f.u. For the density of states at the Fermi level, the calculation gives 0.00 states/eV/f.u. For the density, the calculation gives 1.7 g cm⁻³.

It has space group P1 (No. 1), with a = 5.297 Å, b = 6.070 Å, c = 6.737 Å, α = 91.09°, β = 108.66° and γ = 114.47°. The asymmetric unit holds Al at (0.000, 0.000, 0.000), P at (0.801, 0.386, 0.225), H at (0.256, 0.983, 0.727), H at (0.729, 0.787, 0.312), S at (0.425, 0.142, 0.289), S at (0.649, 0.672, 0.108), S at (0.776, 0.253, 0.924) and S at (0.964, 0.833, 0.690).



Entry 4:
## Rb2U2SnSe6 (PBE-GGA)

Data for a geometry-optimized Rb2U2SnSe6 structure.

For the uncorrected formation energy, the calculation gives -1.12 eV per atom. The calculation puts the magnetization at 4.0 μB/f.u. For the density of states at the Fermi level, the calculation gives 9.05 states/eV/f.u. For the density, the calculation gives 5.4 g cm⁻³.

It has space group C2/m (No. 12), with a = 7.373 Å, b = 12.851 Å, c = 8.408 Å, α = 90.00°, β = 105.92° and γ = 90.00°. The asymmetric unit holds Rb at (0.000, 0.160, 0.000), U at (0.000, 0.334, 0.500), Sn at (0.000, 0.000, 0.500), Se at (0.207, 0.500, 0.692) and Se at (0.235, 0.177, 0.690).



Entry 5:
## Tl3F8 (PBE-GGA)

Data for a geometry-optimized Tl3F8 structure.

For the uncorrected formation energy, the calculation gives -1.77 eV per atom. The calculation puts the magnetization at 0.0 μB/f.u. For the density of states at the Fermi level, the calculation gives 1.25 states/eV/f.u. For the density, the calculation gives 7.4 g cm⁻³.

It has space group Pm-3m (No. 221), with a = 5.547 Å, b = 5.547 Å, c = 5.547 Å, α = 90.00°, β = 90.00° and γ = 90.00°. The asymmetric unit holds Tl at (0.000, 0.000, 0.500) and F at (0.239, 0.239, 0.239).



Entry 6:
## Ho4Zn2Ga (PBE-GGA)

Data for a geometry-optimized Ho4Zn2Ga structure.

The calculation puts the formation energy at -0.31 eV per atom. The calculation puts the magnetization at 0.0 μB/f.u. The calculation puts the relative energy among the computed polymorphs at 0.000 eV/f.u. For the density of states at the Fermi level, the calculation gives 5.80 states/eV/f.u. For the density, the calculation gives 8.2 g cm⁻³.

It has space group I4/mmm (No. 139), with a = 7.063 Å, b = 7.063 Å, c = 7.018 Å, α = 90.00°, β = 90.00° and γ = 90.00°. The asymmetric unit holds Ho at (0.250, 0.250, 0.250), Zn at (0.000, 0.500, 0.000) and Ga at (0.000, 0.000, 0.000).



Entry 7:
## NaHfTcOs2 (PBE-GGA)

Data for a geometry-optimized NaHfTcOs2 structure.

The calculation puts the formation energy at 2.42 eV per atom. The calculation puts the magnetization at 1.2 μB/f.u. For the density of states at the Fermi level, the calculation gives 6.70 states/eV/f.u. For the density, the calculation gives 12.8 g cm⁻³.

It has space group P4/mmm (No. 123), with a = 4.472 Å, b = 4.472 Å, c = 4.403 Å, α = 90.00°, β = 90.00° and γ = 90.00°. The asymmetric unit holds Na at (0.000, 0.000, 0.000), Hf at (0.000, 0.000, 0.500), Tc at (0.500, 0.500, 0.500) and Os at (0.000, 0.500, 0.000).



Entry 8:
## DyYEr6 (PBE-GGA)

Data for a geometry-optimized DyYEr6 structure.

The calculation puts the formation energy at 0.02 eV per atom. The calculation puts the magnetization at 0.0 μB/f.u. The calculation puts the relative energy among the computed polymorphs at 0.000 eV/f.u. For the density of states at the Fermi level, the calculation gives 11.09 states/eV/f.u. For the density, the calculation gives 8.5 g cm⁻³.

It has space group P-1 (No. 2), with a = 4.971 Å, b = 6.092 Å, c = 9.316 Å, α = 77.41°, β = 74.58° and γ = 65.98°. The asymmetric unit holds Dy at (0.000, 0.000, 0.000), Y at (0.000, 0.500, 0.500), Er at (0.250, 0.375, 0.124), Er at (0.250, 0.875, 0.626) and Er at (0.500, 0.248, 0.751).



Entry 9:
## Na6InHg6 (PBE-GGA)

Data for a geometry-optimized Na6InHg6 structure.

The calculation puts the formation energy at -0.16 eV per atom. The calculation puts the magnetization at 0.0 μB/f.u. For the density of states at the Fermi level, the calculation gives 3.79 states/eV/f.u. For the density, the calculation gives 6.7 g cm⁻³.

It has space group P6/mmm (No. 191), with a = 6.1629 Å, b = 6.1629 Å, c = 10.9852 Å, α = 90.00°, β = 90.00° and γ = 120.00°. The asymmetric unit holds Na at (0.0000, 0.0000, 0.1690), Na at (0.3333, 0.6667, 0.0000), Na at (0.3333, 0.6667, 0.5000), In at (0.0000, 0.0000, 0.5000) and Hg at (0.0000, 0.5000, 0.2549).



Entry 10:
## Pr2FeNi3As4 (PBE-GGA)

Data for a geometry-optimized Pr2FeNi3As4 structure.

The calculation puts the formation energy at -0.77 eV per atom. The calculation puts the magnetization at 2.1 μB/f.u. For the density of states at the Fermi level, the calculation gives 5.35 states/eV/f.u. For the density, the calculation gives 7.9 g cm⁻³.

It has space group P-4m2 (No. 115), with a = 4.226 Å, b = 4.226 Å, c = 9.574 Å, α = 90.00°, β = 90.00° and γ = 90.00°. The asymmetric unit holds Pr at (0.000, 0.500, 0.249), Fe at (0.000, 0.000, 0.500), Ni at (0.000, 0.500, 0.882), Ni at (0.500, 0.500, 0.500), As at (0.000, 0.000, 0.000), As at (0.000, 0.500, 0.629) and As at (0.500, 0.500, 0.000).



Entry 11:
## TbDyTePb (PBE-GGA)

Data for a geometry-optimized TbDyTePb structure.

For the uncorrected formation energy, the calculation gives -0.94 eV per atom. The calculation puts the magnetization at 0.0 μB/f.u. For the density of states at the Fermi level, the calculation gives 1.23 states/eV/f.u. For the density, the calculation gives 8.9 g cm⁻³.

It has space group R3m (No. 160, hexagonal axes), with a = 4.4262 Å, b = 4.4262 Å, c = 21.6965 Å, α = 90.00°, β = 90.00° and γ = 120.00°. The asymmetric unit holds Tb at (0.0000, 0.0000, 0.0000), Dy at (0.0000, 0.0000, 0.4936), Te at (0.0000, 0.0000, 0.2464) and Pb at (0.0000, 0.0000, 0.7472).



Entry 12:
## Al2CBr (PBE-GGA)

Data for a geometry-optimized Al2CBr structure.

For the uncorrected formation energy, the calculation gives 0.06 eV per atom. The calculation puts the magnetization at 0.0 μB/f.u. For the density of states at the Fermi level, the calculation gives 2.06 states/eV/f.u. For the density, the calculation gives 3.3 g cm⁻³.

It has space group I-42d (No. 122), with a = 5.416 Å, b = 5.416 Å, c = 10.043 Å, α = 90.00°, β = 90.00° and γ = 90.00°. The asymmetric unit holds Al at (0.114, 0.250, 0.125), C at (0.000, 0.000, 0.000) and Br at (0.000, 0.000, 0.500).



Entry 13:
## NaYMo2Se (PBE-GGA)

Data for a geometry-optimized NaYMo2Se structure.

For the uncorrected formation energy, the calculation gives 1.50 eV per atom. The calculation puts the magnetization at 7.7 μB/f.u. For the density of states at the Fermi level, the calculation gives 3.47 states/eV/f.u. For the density, the calculation gives 3.9 g cm⁻³.

It has space group P4/mmm (No. 123), with a = 5.448 Å, b = 5.448 Å, c = 5.451 Å, α = 90.00°, β = 90.00° and γ = 90.00°. The asymmetric unit holds Na at (0.000, 0.000, 0.000), Y at (0.500, 0.500, 0.500), Mo at (0.000, 0.500, 0.500) and Se at (0.500, 0.500, 0.000).



Entry 14:
## MnSe (PBE-GGA)

Data for a geometry-optimized MnSe structure.

For the uncorrected formation energy, the calculation gives -0.33 eV per atom. The calculation puts the magnetization at 1.4 μB/f.u. For the density of states at the Fermi level, the calculation gives 0.93 states/eV/f.u. For the density, the calculation gives 5.5 g cm⁻³.

It has space group P4/nmm (No. 129, origin choice 2), with a = 3.601 Å, b = 3.601 Å, c = 6.288 Å, α = 90.00°, β = 90.00° and γ = 90.00°. The asymmetric unit holds Mn at (0.250, 0.750, 0.000) and Se at (0.250, 0.250, 0.248).



Entry 15:
## YTmMg3 (PBE-GGA)

Data for a geometry-optimized YTmMg3 structure.

The calculation puts the formation energy at -0.06 eV per atom. The calculation puts the magnetization at 0.0 μB/f.u. The calculation puts the relative energy among the computed polymorphs at 0.000 eV/f.u. For the density of states at the Fermi level, the calculation gives 4.45 states/eV/f.u. For the density, the calculation gives 4.1 g cm⁻³.

It has space group Cmcm (No. 63), with a = 3.333 Å, b = 30.738 Å, c = 5.177 Å, α = 90.00°, β = 90.00° and γ = 90.00°. The asymmetric unit holds Y at (0.000, 0.075, 0.250), Tm at (0.000, 0.220, 0.750), Mg at (0.000, 0.326, 0.750), Mg at (0.000, 0.377, 0.250) and Mg at (0.000, 0.476, 0.250).



Entry 16:
## RbNi3As2 (PBE-GGA)

Data for a geometry-optimized RbNi3As2 structure.

The calculation puts the formation energy at -0.32 eV per atom. The calculation puts the magnetization at 0.0 μB/f.u. For the density of states at the Fermi level, the calculation gives 4.12 states/eV/f.u. For the density, the calculation gives 6.0 g cm⁻³.

It has space group C2/m (No. 12), with a = 14.849 Å, b = 3.784 Å, c = 8.767 Å, α = 90.00°, β = 111.38° and γ = 90.00°. The asymmetric unit holds Rb at (0.145, 0.000, 0.049), Ni at (0.049, 0.000, 0.405), Ni at (0.080, 0.500, 0.624), Ni at (0.185, 0.500, 0.456), As at (0.029, 0.500, 0.244) and As at (0.186, 0.000, 0.644).



Entry 17:
## La2NdDy3Tm6 (PBE-GGA)

Data for a geometry-optimized La2NdDy3Tm6 structure.

The calculation puts the formation energy at 0.03 eV per atom. The calculation puts the magnetization at 0.0 μB/f.u. For the density of states at the Fermi level, the calculation gives 15.37 states/eV/f.u. For the density, the calculation gives 8.4 g cm⁻³.

It has space group C2/m (No. 12), with a = 6.183 Å, b = 10.703 Å, c = 11.718 Å, α = 90.00°, β = 100.10° and γ = 90.00°. The asymmetric unit holds La at (0.000, 0.167, 0.000), Nd at (0.000, 0.500, 0.000), Dy at (0.000, 0.000, 0.500), Dy at (0.000, 0.333, 0.500), Tm at (0.247, 0.500, 0.745) and Tm at (0.248, 0.166, 0.745).



Entry 18:
## ScCu2Pd7 (PBE-GGA)

Data for a geometry-optimized ScCu2Pd7 structure.

The calculation puts the formation energy at 0.12 eV per atom. The calculation puts the magnetization at 0.0 μB/f.u. For the density of states at the Fermi level, the calculation gives 12.53 states/eV/f.u. For the density, the calculation gives 7.9 g cm⁻³.

It has space group Cmmm (No. 65), with a = 7.185 Å, b = 12.346 Å, c = 4.337 Å, α = 90.00°, β = 90.00° and γ = 90.00°. The asymmetric unit holds Sc at (0.000, 0.000, 0.000), Cu at (0.000, 0.301, 0.500), Pd at (0.000, 0.209, 0.000), Pd at (0.000, 0.500, 0.500) and Pd at (0.186, 0.114, 0.500).



Entry 19:
## TiAgSb2 (PBE-GGA)

Data for a geometry-optimized TiAgSb2 structure.

For the uncorrected formation energy, the calculation gives 0.16 eV per atom. The calculation puts the magnetization at 0.8 μB/f.u. For the density of states at the Fermi level, the calculation gives 3.77 states/eV/f.u. For the density, the calculation gives 7.1 g cm⁻³.

It has space group I-42d (No. 122), with a = 7.724 Å, b = 7.724 Å, c = 6.298 Å, α = 90.00°, β = 90.00° and γ = 90.00°. The asymmetric unit holds Ti at (0.000, 0.000, 0.000), Ag at (0.000, 0.000, 0.500) and Sb at (0.248, 0.750, 0.125).



Entry 20:
## Tl2HgBr (PBE-GGA)

Data for a geometry-optimized Tl2HgBr structure.

For the uncorrected formation energy, the calculation gives -0.26 eV per atom. The calculation puts the magnetization at 0.0 μB/f.u. The calculation puts the relative energy among the computed polymorphs at 0.401 eV/f.u. For the density of states at the Fermi level, the calculation gives 1.80 states/eV/f.u. For the density, the calculation gives 8.6 g cm⁻³.

It has space group R3m (No. 160, hexagonal axes), with a = 4.0337 Å, b = 4.0337 Å, c = 28.2514 Å, α = 90.00°, β = 90.00° and γ = 120.00°. The asymmetric unit holds Tl at (0.0000, 0.0000, 0.0000), Tl at (0.0000, 0.0000, 0.2366), Hg at (0.0000, 0.0000, 0.4920) and Br at (0.0000, 0.0000, 0.7405).